Record 1
80
Lattice="-7.8775 7.8775 7.8775 7.8775 -7.8775 7.8775 7.8775 7.8775 -7.8775" Properties=species:S:1:pos:R:3 comment="Co5Br3Cl12 | Alexandria | PBE | relaxed" e_form_raw_ev_per_atom=-0.189 pbc="T T T"
Co 0.0000 0.0000 0.0000
Co 3.9387 3.9387 -3.9387
Co 3.9387 -3.9387 3.9387
Co 7.8775 0.0000 0.0000
Co 11.8162 1.9694 0.0000
Co 7.8775 -3.9387 5.9081
Co 5.9081 7.8775 -3.9387
Co 5.9081 0.0000 3.9387
Co 3.9387 5.9081 0.0000
Co 7.8775 3.9387 1.9694
Co -3.9387 3.9387 3.9387
Co 0.0000 7.8775 0.0000
Co 0.0000 0.0000 7.8775
Co 3.9387 3.9387 3.9387
Co 0.0000 3.9387 5.9081
Co 3.9387 1.9694 7.8775
Co 1.9694 7.8775 3.9387
Co 1.9694 0.0000 11.8162
Co 0.0000 11.8162 1.9694
Co -3.9387 5.9081 7.8775
Br 3.9387 1.9694 0.0000
Br 7.8775 3.9387 -1.9694
Br 1.9694 0.0000 3.9387
Br 9.8468 0.0000 3.9387
Br 0.0000 3.9387 1.9694
Br 3.9387 -1.9694 7.8775
Br 3.9387 9.8468 0.0000
Br 7.8775 3.9387 5.9081
Br -1.9694 7.8775 3.9387
Br 5.9081 7.8775 3.9387
Br 0.0000 3.9387 9.8468
Br 3.9387 5.9081 7.8775
Cl 6.2592 -4.4627 4.4780
Cl 13.4345 0.5392 -0.5239
Cl 10.1980 0.5392 0.5239
Cl 9.4957 -3.4148 4.4780
Cl 11.2923 3.3995 -1.6183
Cl 8.4014 -5.5570 7.3382
Cl 4.4780 6.2592 -4.4627
Cl 7.3382 -0.5239 2.3205
Cl 7.3382 8.4014 -5.5570
Cl 4.4780 -1.6183 4.4627
Cl 4.4627 4.4780 -1.6183
Cl 7.3536 2.3205 0.5392
Cl 12.3401 3.3995 1.6183
Cl 7.3536 -2.3205 7.3382
Cl 7.3382 7.3536 -2.3205
Cl 4.4780 1.6183 3.4148
Cl 4.4780 9.4957 -3.4148
Cl 7.3382 0.5239 5.5570
Cl 3.4148 4.4780 1.6183
Cl 8.4014 5.5570 0.5392
Cl 2.3205 7.3382 -0.5239
Cl 9.4957 3.4148 3.3995
Cl 5.5570 7.3382 0.5239
Cl 6.2592 4.4627 3.3995
Cl 1.6183 3.4148 4.4780
Cl 2.3205 0.5392 7.3536
Cl -1.6183 4.4627 4.4780
Cl 5.5570 0.5392 8.4014
Cl -0.5239 2.3205 7.3382
Cl 4.4627 3.3995 6.2592
Cl 0.5392 7.3536 2.3205
Cl 3.3995 -1.6183 11.2923
Cl 3.3995 6.2592 4.4627
Cl 0.5392 0.5239 10.1980
Cl 0.5239 10.1980 0.5392
Cl -4.4627 4.4780 6.2592
Cl 0.5239 5.5570 7.3382
Cl 3.4148 3.3995 9.4957
Cl 3.3995 9.4957 3.4148
Cl 0.5392 -0.5239 13.4345
Cl 0.5392 8.4014 5.5570
Cl 3.3995 1.6183 12.3401
Cl -0.5239 13.4345 0.5392
Cl -3.4148 4.4780 9.4957
Cl -1.6183 11.2923 3.3995
Cl -2.3205 7.3382 7.3536
Cl -5.5570 7.3382 8.4014
Cl 1.6183 12.3401 3.3995

=====

Record 2
8
Lattice="7.7521 0.0000 0.0000 0.0000 4.4640 0.0000 -2.5398 0.0000 8.0993" Properties=species:S:1:pos:R:3 comment="Ac4NiTe2Au | Alexandria | PBE | relaxed" e_form_raw_ev_per_atom=-0.970 pbc="T T T"
Ac 1.2357 0.0000 1.7301
Ac -0.0589 2.2320 6.3241
Ac 5.2712 2.2320 1.7752
Ac 3.9766 0.0000 6.3692
Ni 0.0000 2.2320 0.0000
Te -1.2699 0.0000 4.0497
Te 2.6061 2.2320 4.0497
Au 3.8761 0.0000 0.0000